[1]
# CaNi12Ge6

Crystalline CaNi12Ge6 at its relaxed geometry (PBE-GGA, the Alexandria database).

Values from the calculation:
V = 13.9 A^3/atom
Energy of formation = -238 meV/atom
ρ = 7.43 Mg/m³

a = 10.6870 Å, b = 10.6870 Å, c = 7.9983 Å
α = 90.00°, β = 90.00°, γ = 120.00°
Space group R-3m (No. 166, hexagonal axes)
Asymmetric unit:
Ca 0.0000 0.0000 0.0000 x3
Ni 0.0000 0.3800 0.5000 x18
Ni 0.0860 0.1720 0.3346 x18
Ge 0.0370 0.5185 0.2616 x18


[2]
# Cs3Hg2AuCl9

Crystalline Cs3Hg2AuCl9 at its relaxed geometry (PBE-GGA, the Alexandria database).

Values from the calculation:
Raw formation energy = -1.0821 eV/atom
V = 30.4 A^3/atom
ρ = 4.78 Mg/m³

a = 7.5467 Å, b = 7.5467 Å, c = 9.2601 Å
α = 90.00°, β = 90.00°, γ = 120.00°
Space group P-3m1 (No. 164)
Asymmetric unit:
Cs 0.0000 0.0000 0.0000 x1
Cs 0.3333 0.6667 0.6680 x2
Hg 0.3333 0.6667 0.1733 x2
Au 0.0000 0.0000 0.5000 x1
Cl 0.0000 0.5000 0.0000 x3
Cl 0.1635 0.3270 0.3392 x6


[3]
# TiInRePd2

Crystalline TiInRePd2 at its relaxed geometry (PBE-GGA, the Alexandria database).

Values from the calculation:
V = 22.2 A^3/atom
Energy of formation = 766 meV/atom
ρ = 8.39 Mg/m³

a = 4.938 Å, b = 4.938 Å, c = 4.560 Å
α = 90.00°, β = 90.00°, γ = 90.00°
Space group P4/mmm (No. 123)
Asymmetric unit:
Ti 0.000 0.000 0.000 x1
In 0.500 0.500 0.000 x1
Re 0.000 0.000 0.500 x1
Pd 0.000 0.500 0.500 x2


[4]
# NdSm3Al2

Crystalline NdSm3Al2 at its relaxed geometry (PBE-GGA, the Alexandria database).

Values from the calculation:
V = 27.7 A^3/atom
Energy of formation = -169 meV/atom
ρ = 6.49 Mg/m³
ΔE to the lowest computed polymorph = 84.5 meV per atom

a = 4.891 Å, b = 15.076 Å, c = 4.504 Å
α = 90.00°, β = 90.00°, γ = 90.00°
Space group Cmmm (No. 65)
Asymmetric unit:
Nd 0.000 0.000 0.000 x2
Sm 0.000 0.176 0.500 x4
Sm 0.000 0.500 0.500 x2
Al 0.000 0.339 0.000 x4


[5]
# SmGd2Be

Crystalline SmGd2Be at its relaxed geometry (PBE-GGA, the Alexandria database).

Values from the calculation:
V = 30.0 A^3/atom
Energy of formation = 693 meV/atom
ρ = 6.56 Mg/m³
ΔE to the lowest computed polymorph = 612.7 meV per atom

a = 3.4685 Å, b = 3.4685 Å, c = 34.5491 Å
α = 90.00°, β = 90.00°, γ = 120.00°
Space group R-3m (No. 166, hexagonal axes)
Asymmetric unit:
Sm 0.0000 0.0000 0.0000 x3
Gd 0.0000 0.0000 0.4169 x6
Be 0.0000 0.0000 0.5000 x3


[6]
# BaSnTe3

Crystalline BaSnTe3 at its relaxed geometry (PBE-GGA, the Alexandria database).

Values from the calculation:
Raw formation energy = 0.3295 eV/atom
V = 51.3 A^3/atom
ρ = 4.13 Mg/m³
ΔE to the lowest computed polymorph = 1072.6 meV per atom

a = 6.356 Å, b = 6.356 Å, c = 6.356 Å
α = 90.00°, β = 90.00°, γ = 90.00°
Space group Pm-3m (No. 221)
Asymmetric unit:
Ba 0.000 0.000 0.000 x1
Sn 0.500 0.500 0.500 x1
Te 0.000 0.000 0.500 x3


[7]
# Ba2HfNb

Crystalline Ba2HfNb at its relaxed geometry (PBE-GGA, the Alexandria database).

Values from the calculation:
V = 32.4 A^3/atom
Energy of formation = 1232 meV/atom
ρ = 7.00 Mg/m³
ΔE to the lowest computed polymorph = 0.0 meV per atom

a = 8.033 Å, b = 8.033 Å, c = 8.033 Å
α = 90.00°, β = 90.00°, γ = 90.00°
Space group Fm-3m (No. 225)
Asymmetric unit:
Ba 0.250 0.250 0.250 x8
Hf 0.000 0.000 0.000 x4
Nb 0.000 0.000 0.500 x4


[8]
# Ba3BiN

Crystalline Ba3BiN at its relaxed geometry (PBE-GGA, the Alexandria database).

Values from the calculation:
Raw formation energy = 0.6894 eV/atom
V = 57.8 A^3/atom
ρ = 3.65 Mg/m³

a = 6.613 Å, b = 6.613 Å, c = 6.613 Å
α = 90.00°, β = 90.00°, γ = 90.00°
Space group Pm-3m (No. 221)
Asymmetric unit:
Ba 0.000 0.000 0.500 x3
Bi 0.000 0.000 0.000 x1
N 0.500 0.500 0.500 x1


Q: The highest ρ belongs to which entry?
A: TiInRePd2


Q: What is the V in the fifth record?
A: 30.0 A^3/atom